Arrangement w

A geometry-optimized MnCoGe4 structure, computed with PBE.

Results
**Magnetization**: 0.0 μB per cell

a b c (Å): 6.7080 6.7080 6.7080
angles (deg): 101.23 101.23 127.62
Fractional coordinates of all 12 atoms:
Mn 0.3750 0.6250 0.7500
Mn 0.6250 0.3750 0.2500
Co 0.1250 0.8750 0.2500
Co 0.8750 0.1250 0.7500
Ge 0.2150 0.7269 0.4881
Ge 0.2612 0.2731 0.9881
Ge 0.2731 0.2612 0.4881
Ge 0.2731 0.7850 0.0119
Ge 0.7269 0.2150 0.9881
Ge 0.7269 0.7388 0.5119
Ge 0.7388 0.7269 0.0119
Ge 0.7850 0.2731 0.5119

---

Arrangement x

A geometry-optimized MnCoGe4 structure, computed with PBE.

Results
**Magnetization**: 5.6 μB per cell

a b c (Å): 6.6872 6.6872 6.6872
angles (deg): 128.16 128.16 76.36
Fractional coordinates of all 12 atoms:
Mn 0.0000 0.0000 0.0000
Mn 0.5000 0.5000 0.0000
Co 0.2500 0.2500 0.0000
Co 0.7500 0.7500 0.0000
Ge 0.0222 0.5222 0.8128
Ge 0.2094 0.0222 0.5000
Ge 0.2906 0.7906 0.8128
Ge 0.4778 0.2906 0.5000
Ge 0.5222 0.7094 0.5000
Ge 0.7094 0.2094 0.1872
Ge 0.7906 0.9778 0.5000
Ge 0.9778 0.4778 0.1872

---

The most stable arrangement is arrangement x, and the next structure is 207 meV per atom less stable.